Entry from Alexandria: crystalline TbPr2HoP4 at its relaxed geometry (PBE).

a = 7.1096 Å, b = 4.1091 Å, c = 7.1132 Å
α = 90.00°, β = 109.47°, γ = 90.00°
Last column: nearest neighbours and their distance in Å.
Space group P2/m (No. 10)
One atom of each set of equivalent atoms:
Tb  0.0000  0.0000  0.0000 x1  6 P 2.86
Pr  0.5000  0.0000  0.5000 x1  6 P 2.94-2.95
Pr  0.5000  0.5000  0.0000 x1  6 P 2.95-2.96
Ho  0.0000  0.5000  0.5000 x1  6 P 2.85-2.86
P  0.2379  0.0000  0.7449 x2  2 Ho 2.86, 1 Tb 2.86, 3 Pr 2.94-2.96
P  0.2387  0.5000  0.2474 x2  1 Ho 2.85, 2 Tb 2.86, 3 Pr 2.95

volume	195.93	Å³/cell
DOS(E_F)	0.735	states/eV per cell
formation energy from the elements	-1.55	eV/atom
electronic total energy	-52.841	eV/cell